Pm6Ir2S3Br: relaxed, PBE.

## Properties
ΔE_f (raw) = -1.42 eV per atom

a b c (Å): 4.022 8.549 9.310
angles (deg): 104.48 102.48 90.00
Fractional coordinates of all 12 atoms:
Pm  0.009  0.281  0.017
Pm  0.331  0.417  0.663
Pm  0.991  0.719  0.983
Pm  0.669  0.583  0.337
Pm  0.678  0.111  0.357
Pm  0.322  0.889  0.643
S  0.843  0.157  0.685
S  0.500  0.500  0.000
S  0.157  0.843  0.315
Ir  0.831  0.661  0.662
Ir  0.169  0.339  0.338
Br  0.500  0.000  0.000


Pm6Ir3Se2Br: relaxed, PBE.

## Properties
ΔE_f (raw) = -1.16 eV per atom

a b c (Å): 4.096 8.753 9.679
angles (deg): 108.31 102.22 90.00
Fractional coordinates of all 12 atoms:
Ir  0.163  0.825  0.327
Ir  0.837  0.175  0.673
Ir  0.500  0.500  0.000
Br  0.500  0.000  0.000
Pm  0.662  0.592  0.325
Pm  0.003  0.721  0.007
Pm  0.338  0.408  0.675
Pm  0.680  0.068  0.360
Pm  0.320  0.932  0.640
Pm  0.997  0.279  0.993
Se  0.835  0.676  0.670
Se  0.165  0.324  0.330


Which formula does entry 2 have?
Pm6Ir3Se2Br